First-principles (PBE-GGA) data for a geometry-optimized SrGe2F structure, as listed in Alexandria.

a = 13.091 Å, b = 13.091 Å, c = 13.091 Å
α = 163.87°, β = 163.87°, γ = 22.89°
Fractional positions:
Sr: 0.000 0.000 0.000
Sr: 0.750 0.250 0.500
Ge: 0.123 0.125 0.498
Ge: 0.375 0.877 0.002
Ge: 0.627 0.625 0.502
Ge: 0.875 0.373 0.998
F: 0.250 0.750 0.500
F: 0.500 0.500 0.000

Summary:
Electronic total energy: -4.52 eV per atom
Total moment: 0.0 μB per formula unit
Space group: I-42d
Energy above the most stable polymorph in this dataset: 0.000 eV per formula unit
Formation energy without anion corrections: -1.32 eV per atom
N(E_F): 1.64 states/eV/f.u.